(1)
Below is a geometry-optimized SiGe3B structure, with properties calculated at the PBE level.

```
SiGe3B
1.0
-3.7544 -2.3669 -1.6179
2.8308 -3.4825 -1.4742
-0.4541 -2.1412 4.1862
B Ge Si
1 3 1
Cartesian
-0.6888 -3.9953 0.5470 B
1.4154 -1.7413 -0.7371 Ge
-1.8772 -1.1834 -0.8089 Ge
-0.2270 -1.0706 2.0931 Ge
0.0000 0.0000 0.0000 Si
```

Total magnetic moment (μB per atom): 0.000
Calculated total energy (eV per atom): -3.76
ΔE to the lowest computed polymorph (eV per atom): 0.6795
Formation energy (no corrections) (eV per atom): 1.43
DOS at the Fermi energy (states/eV/atom): 0.73

(2)
Below is a geometry-optimized Si3GeB structure, with properties calculated at the PBE level.

```
Si3GeB
1.0
4.1968 0.0000 0.0000
0.0000 4.1968 0.0000
0.0000 0.0000 4.1968
Si Ge B
3 1 1
Cartesian
2.0984 0.0000 0.0000 Si
0.0000 2.0984 0.0000 Si
0.0000 0.0000 2.0984 Si
2.0984 2.0984 2.0984 Ge
0.0000 0.0000 0.0000 B
```

Total magnetic moment (μB per atom): 0.000
Calculated total energy (eV per atom): -4.83
ΔE to the lowest computed polymorph (eV per atom): 0.0000
Formation energy (no corrections) (eV per atom): 0.69
DOS at the Fermi energy (states/eV/atom): 0.41

(3)
Below is a geometry-optimized TlSi2GeB structure, with properties calculated at the PBE level.

```
TlSi2GeB
1.0
4.6910 0.0000 0.0000
0.0000 5.7560 0.0000
0.0000 0.0000 4.6910
Si Ge B Tl
2 1 1 1
Cartesian
0.0000 0.0000 2.3455 Si
2.3455 0.0000 0.0000 Si
0.0000 0.0000 0.0000 Ge
2.3455 2.8780 2.3455 B
0.0000 2.8780 0.0000 Tl
```

Total magnetic moment (μB per atom): 0.000
Calculated total energy (eV per atom): -3.20
Formation energy (no corrections) (eV per atom): 1.70
DOS at the Fermi energy (states/eV/atom): 0.79

> The highest DOS at the Fermi energy belongs to which entry?

TlSi2GeB